Record 1
# PmTh2Te6

An optimized crystal structure of PmTh2Te6 (GGA-PBE, Alexandria).

Geometry as POSCAR:
```
PmTh2Te6
1.0
7.4111 0.0000 0.0000
0.0000 7.4111 0.0000
0.0000 0.0000 13.8552
Pm Th Te
2 4 12
Cartesian
0.0000 0.0000 0.0000 Pm
3.7056 3.7056 6.9276 Pm
0.0000 0.0000 4.6080 Th
0.0000 0.0000 9.2472 Th
3.7056 3.7056 2.3196 Th
3.7056 3.7056 11.5356 Th
1.4745 1.4745 6.9276 Te
1.4994 1.4994 2.3201 Te
1.4994 1.4994 11.5351 Te
2.2061 5.2050 4.6075 Te
2.2061 5.2050 9.2476 Te
2.2310 5.1801 0.0000 Te
5.1801 2.2310 0.0000 Te
5.2050 2.2061 4.6075 Te
5.2050 2.2061 9.2476 Te
5.9117 5.9117 2.3201 Te
5.9117 5.9117 11.5351 Te
5.9366 5.9366 6.9276 Te
```

Energy relative to the elements, uncorrected   -9.2 eV/f.u.
E   -5.294 eV per atom
Space group   P4_2/mnm, No. 136



Record 2
# AlV6Cr

An optimized crystal structure of AlV6Cr (GGA-PBE, Alexandria).

Geometry as POSCAR:
```
AlV6Cr
1.0
3.3599 1.9398 2.7459
-3.3599 1.9398 2.7459
0.0000 -3.8796 2.7459
Al V Cr
1 6 1
Cartesian
0.0000 0.0000 0.0000 Al
-0.8639 -1.4393 2.0786 V
0.8639 1.4393 6.1590 V
-0.8145 1.4678 2.0786 V
1.6784 -0.0285 2.0786 V
-1.6784 0.0285 6.1590 V
0.8145 -1.4678 6.1590 V
0.0000 0.0000 4.1188 Cr
```

ΔH_f (0 K)   -0.0874 eV per atom
E   -8.597 eV per atom
Space group   R-3, No. 148
ΔE to the lowest computed polymorph   0 meV per atom



Record 3
# CuPbBr3

An optimized crystal structure of CuPbBr3 (GGA-PBE, Alexandria).

Geometry as POSCAR:
```
CuPbBr3
1.0
7.5044 0.0000 0.0000
0.0000 7.0141 0.0000
-7.1120 0.0000 12.8565
Cu Pb Br
4 4 12
Cartesian
0.5783 0.4405 1.1648 Cu
-2.9777 3.0665 7.5930 Cu
3.3701 3.9476 5.2634 Cu
-0.1860 6.5736 11.6917 Cu
0.0581 3.5751 4.2032 Pb
-3.4979 6.9460 10.6314 Pb
3.8902 0.0681 2.2251 Pb
0.3342 3.4389 8.6533 Pb
-5.9395 5.1690 10.9104 Br
-2.3835 5.3522 4.4821 Br
2.3847 1.5987 0.0327 Br
-1.1713 1.9084 6.4609 Br
-2.2210 5.1672 8.4548 Br
1.3350 5.3539 2.0266 Br
-0.9427 1.6602 10.8299 Br
2.6133 1.8469 4.4017 Br
1.5636 5.1057 6.3956 Br
-1.9924 5.4154 12.8238 Br
2.7758 1.6619 8.3744 Br
6.3318 1.8451 1.9461 Br
```

Energy relative to the elements, uncorrected   -3.1 eV/f.u.
E   -3.195 eV per atom
Space group   P2_1/c, No. 14
ΔE to the lowest computed polymorph   0 meV per atom



Record 4
# LiNd2AuO5

An optimized crystal structure of LiNd2AuO5 (GGA-PBE, Alexandria).

Geometry as POSCAR:
```
LiNd2AuO5
1.0
6.8003 0.0000 0.0000
0.0000 6.8003 0.0000
0.0000 0.0000 5.9309
Li Nd Au O
2 4 2 10
Cartesian
0.0000 0.0000 0.0000 Li
3.4001 3.4001 0.0000 Li
1.2069 2.1932 2.9654 Nd
2.1932 5.5933 2.9654 Nd
4.6071 1.2069 2.9654 Nd
5.5933 4.6071 2.9654 Nd
0.0000 3.4001 0.0000 Au
3.4001 0.0000 0.0000 Au
0.0000 0.0000 2.9654 O
0.9289 4.3290 1.5055 O
0.9289 4.3290 4.4254 O
2.4713 0.9289 1.5055 O
2.4713 0.9289 4.4254 O
3.4001 3.4001 2.9654 O
4.3290 5.8714 1.5055 O
4.3290 5.8714 4.4254 O
5.8714 2.4713 1.5055 O
5.8714 2.4713 4.4254 O
```

Energy relative to the elements, uncorrected   -18.7 eV/f.u.
E   -6.471 eV per atom
Space group   P4/mbm, No. 127